No. 1
The following is a PBE calculation of a relaxed Tb2Pm2PrNd2 crystal, from Alexandria via LeMat-Bulk.

Unit cell a=5.1475 b=6.3056 c=8.1602 alpha=97.34 beta=90.00 gamma=114.09
Closest atoms and distances in Å follow each position.
Fractional coordinates of all 7 atoms:
Tb 0.5718 0.1436 0.7131  5 Nd 3.63-3.64, 1 Tb 3.64, 4 Pm 3.64-3.66, 2 Pr 3.65
Tb 0.4282 0.8564 0.2869  5 Nd 3.63-3.64, 1 Tb 3.64, 4 Pm 3.64-3.66, 2 Pr 3.65
Pm 0.7145 0.4291 0.1429  3 Pr 3.64, 4 Tb 3.64-3.66, 2 Pm 3.64, 3 Nd 3.65
Pm 0.2855 0.5709 0.8571  3 Pr 3.64, 4 Tb 3.64-3.66, 2 Pm 3.64, 3 Nd 3.65
Pr 0.0000 0.0000 0.0000  6 Pm 3.64, 4 Tb 3.65, 2 Nd 3.65
Nd 0.1424 0.2847 0.4289  3 Nd 3.63-3.65, 5 Tb 3.63-3.64, 3 Pm 3.65, 1 Pr 3.65
Nd 0.8576 0.7153 0.5711  3 Nd 3.63-3.65, 5 Tb 3.63-3.64, 3 Pm 3.65, 1 Pr 3.65

Calculated values
- formation energy (kJ/mol of atoms) = 1.3
- theoretical density (g cm⁻³) = 7.19
- Fermi-level density of states (states/eV per cell) = 10.240

No. 2
The following is a PBE calculation of a relaxed Sr2TbTe3 crystal, from Alexandria via LeMat-Bulk.

Unit cell a=4.5730 b=6.5112 c=7.9898 alpha=114.05 beta=106.63 gamma=90.00
Closest atoms and distances in Å follow each position.
Fractional coordinates of all 6 atoms:
Sr 0.8298 0.8298 0.1597  6 Te 3.26-3.33
Sr 0.1702 0.1702 0.8403  6 Te 3.26-3.33
Tb 0.5000 0.5000 0.5000  6 Te 3.14-3.26
Te 0.8446 0.3446 0.1892  2 Tb 3.14, 4 Sr 3.26-3.33
Te 0.1554 0.6554 0.8108  2 Tb 3.14, 4 Sr 3.26-3.33
Te 0.5000 0.0000 0.5000  2 Tb 3.26, 4 Sr 3.28

Calculated values
- ΔE_f (raw) (eV/atom) = -1.559
- theoretical density (g cm⁻³) = 5.77
- Fermi-level density of states (states/eV per cell) = 2.140

No. 3
The following is a PBE calculation of a relaxed HoPuPS crystal, from Alexandria via LeMat-Bulk.

Unit cell a=3.9789 b=3.9789 c=6.8259 alpha=73.05 beta=73.05 gamma=60.00
Closest atoms and distances in Å follow each position.
Fractional coordinates of all 4 atoms:
Ho 0.1952 0.1952 0.4145  3 P 2.79, 3 S 2.81
Pu 0.6930 0.6930 0.9210  3 P 2.80, 3 S 2.82
P 0.9436 0.9436 0.1691  3 Ho 2.79, 3 Pu 2.80
S 0.4446 0.4446 0.6661  3 Ho 2.81, 3 Pu 2.82

Calculated values
- ΔE_f (raw) (eV/atom) = -1.686
- theoretical density (g cm⁻³) = 8.89
- Fermi-level density of states (states/eV per cell) = 8.182